# 1
4
Lattice="4.950 0.002 0.002 2.234 4.418 -0.002 -3.056 -3.081 2.382" Properties=species:S:1:pos:R:3 comment="PBE-GGA BeRe2Ru, relaxed" density_g_cm3=15.4 e_tot_ev_per_atom=-9.45 ef_kj_per_mol_atoms=2 spacegroup=Imm2 pbc="T T T"
Be 2.713 -0.453 1.192
Ru 3.788 2.330 0.000
Re 1.406 1.786 1.190
Re 6.998 4.305 0.000

***

# 2
5
Lattice="-4.133 -1.015 2.393 2.105 -3.943 1.964 1.524 2.694 3.775" Properties=species:S:1:pos:R:3 comment="PBE-GGA NaSiAg3, relaxed" density_g_cm3=5.3 e_tot_ev_per_atom=-2.96 e_form_raw_ev_per_atom=0.10 spacegroup=Pm-3m pbc="T T T"
Ag -2.066 -0.508 1.196
Si 0.000 0.000 0.000
Ag 1.053 -1.971 0.982
Na -0.252 -1.132 4.066
Ag 0.762 1.347 1.888

***

# 3
20
Lattice="-0.318 6.107 3.044 2.328 -3.379 7.021 10.078 1.612 -2.566" Properties=species:S:1:pos:R:3 comment="PBE-GGA Pm6Ge3Pt, relaxed" density_g_cm3=7.3 e_tot_ev_per_atom=-5.52 ef_kj_per_mol_atoms=-66 spacegroup=P2_1/c pbc="T T T"
Pm 2.533 -0.552 6.655
Pm 9.555 4.891 0.845
Pm 1.414 -0.003 2.516
Ge 9.378 1.627 6.019
Ge 5.039 0.806 -1.283
Pm 10.674 4.343 4.983
Pm 3.362 2.961 4.479
Ge 2.710 2.713 1.481
Pt 6.044 2.170 3.750
Pm 6.106 0.030 5.687
Ge 3.865 -1.313 3.870
Ge 8.223 5.653 3.630
Pm 7.069 3.806 5.857
Pm 5.019 0.533 1.643
Pm 4.425 2.325 8.531
Pm 7.663 2.015 -1.031
Ge 1.005 1.364 5.033
Pt 0.000 0.000 0.000
Pm 5.982 4.309 1.813
Pm 8.726 1.379 3.020

***

# 4
10
Lattice="-1.073 -2.066 -2.084 -3.325 -4.319 8.333 -5.430 5.306 -2.464" Properties=species:S:1:pos:R:3 comment="PBE-GGA PuHf3Zr, relaxed" density_g_cm3=12.5 e_tot_ev_per_atom=-10.42 ef_kj_per_mol_atoms=13 spacegroup=C2/m pbc="T T T"
Hf -3.053 -4.083 5.617
Hf -5.776 -3.414 4.014
Hf -4.052 2.336 -0.229
Pu -3.044 -1.827 3.377
Zr -8.451 -1.860 3.851
Hf -5.722 -0.351 3.292
Hf -6.775 3.005 -1.833
Hf -4.106 -0.728 0.492
Pu -6.783 0.749 0.408
Zr -1.376 0.781 -0.066

***

What did the third record say?
20
Lattice="-0.318 6.107 3.044 2.328 -3.379 7.021 10.078 1.612 -2.566" Properties=species:S:1:pos:R:3 comment="PBE-GGA Pm6Ge3Pt, relaxed" density_g_cm3=7.3 e_tot_ev_per_atom=-5.52 ef_kj_per_mol_atoms=-66 spacegroup=P2_1/c pbc="T T T"
Pm 2.533 -0.552 6.655
Pm 9.555 4.891 0.845
Pm 1.414 -0.003 2.516
Ge 9.378 1.627 6.019
Ge 5.039 0.806 -1.283
Pm 10.674 4.343 4.983
Pm 3.362 2.961 4.479
Ge 2.710 2.713 1.481
Pt 6.044 2.170 3.750
Pm 6.106 0.030 5.687
Ge 3.865 -1.313 3.870
Ge 8.223 5.653 3.630
Pm 7.069 3.806 5.857
Pm 5.019 0.533 1.643
Pm 4.425 2.325 8.531
Pm 7.663 2.015 -1.031
Ge 1.005 1.364 5.033
Pt 0.000 0.000 0.000
Pm 5.982 4.309 1.813
Pm 8.726 1.379 3.020